1.
First-principles (PBE-GGA) data for an optimized crystal structure of Rb3SiCl2F6, as listed in Alexandria via LeMat-Bulk.

Summary:
The value obtained for the total energy is -4.458 eV/atom. For the raw formation energy, the calculation gives -2520 meV/atom.

Cell lengths 6.0649, 6.3061, 7.6412 Å; angles 114.37, 90.26, 90.00 degrees
Last column: magnetic moment on the atom in μB.
Fractional positions:
F1 0.3282 0.0977 0.1954  0.00
F2 0.3435 0.7500 0.8900  0.00
F3 0.6565 0.8601 0.1100  0.00
F4 0.6718 0.9023 0.8046  0.00
F5 0.3435 0.1399 0.8900  0.00
F6 0.6565 0.2500 0.1100  0.00
Rb1 0.5000 0.5000 0.5000  0.00
Rb2 0.5000 0.0000 0.5000  0.00
Rb3 0.0000 0.5000 0.0000  0.00
Cl1 0.9874 0.2613 0.5226  0.09
Cl2 0.0126 0.7387 0.4774  0.09
Si1 0.5000 0.0000 0.0000  0.00

2.
First-principles (PBE-GGA) data for an optimized crystal structure of ZnF2, as listed in Alexandria via LeMat-Bulk.

Summary:
The value obtained for the total energy is -3.988 eV/atom. For the raw formation energy, the calculation gives -2316 meV/atom.

Cell lengths 4.7976, 4.7976, 3.1846 Å; angles 90.00, 90.00, 90.00 degrees
Fractional positions:
Zn1 0.0000 0.0000 0.0000
Zn2 0.5000 0.5000 0.5000
F1 0.6960 0.6960 0.0000
F2 0.8040 0.1960 0.5000
F3 0.1960 0.8040 0.5000
F4 0.3040 0.3040 0.0000

3.
First-principles (PBE-GGA) data for an optimized crystal structure of Tl3TcBi, as listed in Alexandria via LeMat-Bulk.

Summary:
For the energy relative to the elements, the calculation gives 0.604 eV/atom. The value obtained for the total energy is -3.666 eV/atom. The value obtained for the offset from the most stable computed form is 0.0000 eV/atom.

Cell lengths 5.3944, 5.3944, 5.3944 Å; angles 90.00, 90.00, 90.00 degrees
Last column: magnetic moment on the atom in μB.
Fractional positions:
Tl1 0.0000 0.0000 0.5000  -0.01
Tl2 0.5000 0.0000 0.0000  -0.01
Tl3 0.0000 0.5000 0.0000  -0.01
Bi1 0.5000 0.5000 0.5000  0.82
Tc1 0.0000 0.0000 0.0000  1.48

Question: Which formula does entry 3 have?
Answer: Tl3TcBi

What did the third record say?
First-principles (PBE-GGA) data for an optimized crystal structure of Tl3TcBi, as listed in Alexandria via LeMat-Bulk.

Summary:
For the energy relative to the elements, the calculation gives 0.604 eV/atom. The value obtained for the total energy is -3.666 eV/atom. The value obtained for the offset from the most stable computed form is 0.0000 eV/atom.

Cell lengths 5.3944, 5.3944, 5.3944 Å; angles 90.00, 90.00, 90.00 degrees
Last column: magnetic moment on the atom in μB.
Fractional positions:
Tl1 0.0000 0.0000 0.5000  -0.01
Tl2 0.5000 0.0000 0.0000  -0.01
Tl3 0.0000 0.5000 0.0000  -0.01
Bi1 0.5000 0.5000 0.5000  0.82
Tc1 0.0000 0.0000 0.0000  1.48